# PBE+U Li2NdVF8, relaxed
data_Li2NdVF8
_chemical_formula_sum 'Li2 Nd1 V1 F8'
_cell_length_a 4.639
_cell_length_b 4.863
_cell_length_c 6.996
_cell_angle_alpha 87.62
_cell_angle_beta 89.26
_cell_angle_gamma 86.63
_space_group_name_H-M_alt 'P -1'
_space_group_IT_number 2
loop_
_space_group_symop_operation_xyz
'x,y,z'
'-x,-y,-z'
loop_
_atom_site_label
_atom_site_type_symbol
_atom_site_fract_x
_atom_site_fract_y
_atom_site_fract_z
Li1 Li 0.032 0.033 0.289
Nd1 Nd 0.500 0.500 0.000
V1 V 0.500 0.500 0.500
F1 F 0.148 0.210 0.041
F2 F 0.205 0.232 0.504
F3 F 0.311 0.707 0.714
F4 F 0.316 0.717 0.276
# Calculated volume ... 157.4 Å³/cell
# Total moment ... 0.167 μB per atom
# DOS at the Fermi energy ... 0.000 states/eV per atom
# Energy ... -5.83 eV/atom
# Crystal system ... triclinic